a | # LuFeW, relaxed, DFT PBE
# Total magnetic moment   1.12 μB/atom
data_LuFeW
_cell_length_a 4.419
_cell_length_b 4.419
_cell_length_c 4.419
_cell_angle_alpha 60.00
_cell_angle_beta 60.00
_cell_angle_gamma 60.00
_symmetry_space_group_name_H-M 'P 1'
_symmetry_Int_Tables_number 1
_symmetry_space_group_name_Hall 'P 1'
loop_
_atom_site_label
_atom_site_type_symbol
_atom_site_fract_x
_atom_site_fract_y
_atom_site_fract_z
Lu1 Lu 0.000 0.000 0.000
Fe1 Fe 0.750 0.750 0.750
W1 W 0.250 0.250 0.250


b | # LuFeW, relaxed, DFT PBE
# Total magnetic moment   0.00 μB/atom
data_LuFeW
_cell_length_a 4.320
_cell_length_b 4.320
_cell_length_c 4.320
_cell_angle_alpha 60.00
_cell_angle_beta 60.00
_cell_angle_gamma 60.00
_symmetry_space_group_name_H-M 'P 1'
_symmetry_Int_Tables_number 1
_symmetry_space_group_name_Hall 'P 1'
loop_
_atom_site_label
_atom_site_type_symbol
_atom_site_fract_x
_atom_site_fract_y
_atom_site_fract_z
Lu1 Lu 0.000 0.000 0.000
Fe1 Fe 0.500 0.500 0.500
W1 W 0.750 0.750 0.750


Most stable of them? b.


a | # Mg3Fe2, relaxed, DFT PBE
# Total magnetic moment   0.91 μB/atom
data_Mg3Fe2
_cell_length_a 7.066
_cell_length_b 7.066
_cell_length_c 7.066
_cell_angle_alpha 47.41
_cell_angle_beta 47.41
_cell_angle_gamma 47.41
_symmetry_space_group_name_H-M 'P 1'
_symmetry_Int_Tables_number 1
_symmetry_space_group_name_Hall 'P 1'
loop_
_atom_site_label
_atom_site_type_symbol
_atom_site_fract_x
_atom_site_fract_y
_atom_site_fract_z
Mg1 Mg 0.246 0.750 0.254
Mg2 Mg 0.250 0.746 0.754
Mg3 Mg 0.254 0.246 0.750
Mg4 Mg 0.746 0.754 0.250
Mg5 Mg 0.750 0.254 0.246
Mg6 Mg 0.754 0.250 0.746
Fe1 Fe 0.194 0.194 0.194
Fe2 Fe 0.306 0.306 0.306
Fe3 Fe 0.694 0.694 0.694
Fe4 Fe 0.806 0.806 0.806


b | # Mg3Fe2, relaxed, DFT PBE
# Total magnetic moment   0.80 μB/atom
data_Mg3Fe2
_cell_length_a 6.866
_cell_length_b 6.866
_cell_length_c 6.866
_cell_angle_alpha 90.00
_cell_angle_beta 90.00
_cell_angle_gamma 90.00
_symmetry_space_group_name_H-M 'P 1'
_symmetry_Int_Tables_number 1
_symmetry_space_group_name_Hall 'P 1'
loop_
_atom_site_label
_atom_site_type_symbol
_atom_site_fract_x
_atom_site_fract_y
_atom_site_fract_z
Mg1 Mg 0.049 0.125 0.799
Mg2 Mg 0.125 0.799 0.049
Mg3 Mg 0.201 0.549 0.375
Mg4 Mg 0.299 0.451 0.875
Mg5 Mg 0.375 0.201 0.549
Mg6 Mg 0.451 0.875 0.299
Mg7 Mg 0.549 0.375 0.201
Mg8 Mg 0.625 0.701 0.951
Mg9 Mg 0.701 0.951 0.625
Mg10 Mg 0.799 0.049 0.125
Mg11 Mg 0.875 0.299 0.451
Mg12 Mg 0.951 0.625 0.701
Fe1 Fe 0.071 0.929 0.429
Fe2 Fe 0.179 0.179 0.179
Fe3 Fe 0.321 0.821 0.679
Fe4 Fe 0.429 0.071 0.929
Fe5 Fe 0.571 0.571 0.571
Fe6 Fe 0.679 0.321 0.821
Fe7 Fe 0.821 0.679 0.321
Fe8 Fe 0.929 0.429 0.071


Most stable of them? b.


a | # MgNbFe, relaxed, DFT PBE
# Total magnetic moment   0.32 μB/atom
data_MgNbFe
_cell_length_a 4.298
_cell_length_b 4.298
_cell_length_c 4.298
_cell_angle_alpha 60.00
_cell_angle_beta 60.00
_cell_angle_gamma 60.00
_symmetry_space_group_name_H-M 'P 1'
_symmetry_Int_Tables_number 1
_symmetry_space_group_name_Hall 'P 1'
loop_
_atom_site_label
_atom_site_type_symbol
_atom_site_fract_x
_atom_site_fract_y
_atom_site_fract_z
Mg1 Mg 0.000 0.000 0.000
Nb1 Nb 0.750 0.750 0.750
Fe1 Fe 0.500 0.500 0.500


b | # MgNbFe, relaxed, DFT PBE
# Total magnetic moment   0.78 μB/atom
data_MgNbFe
_cell_length_a 4.300
_cell_length_b 4.300
_cell_length_c 4.300
_cell_angle_alpha 60.00
_cell_angle_beta 60.00
_cell_angle_gamma 60.00
_symmetry_space_group_name_H-M 'P 1'
_symmetry_Int_Tables_number 1
_symmetry_space_group_name_Hall 'P 1'
loop_
_atom_site_label
_atom_site_type_symbol
_atom_site_fract_x
_atom_site_fract_y
_atom_site_fract_z
Mg1 Mg 0.000 0.000 0.000
Nb1 Nb 0.250 0.250 0.250
Fe1 Fe 0.750 0.750 0.750


Most stable of them? a.


a | # MgNbFePb, relaxed, DFT PBE
# Total magnetic moment   0.23 μB/atom
data_MgNbFePb
_cell_length_a 4.625
_cell_length_b 4.625
_cell_length_c 4.625
_cell_angle_alpha 60.00
_cell_angle_beta 60.00
_cell_angle_gamma 60.00
_symmetry_space_group_name_H-M 'P 1'
_symmetry_Int_Tables_number 1
_symmetry_space_group_name_Hall 'P 1'
loop_
_atom_site_label
_atom_site_type_symbol
_atom_site_fract_x
_atom_site_fract_y
_atom_site_fract_z
Mg1 Mg 0.000 0.000 0.000
Nb1 Nb 0.750 0.750 0.750
Fe1 Fe 0.500 0.500 0.500
Pb1 Pb 0.250 0.250 0.250


b | # MgNbFePb, relaxed, DFT PBE
# Total magnetic moment   0.87 μB/atom
data_MgNbFePb
_cell_length_a 4.711
_cell_length_b 4.711
_cell_length_c 4.711
_cell_angle_alpha 60.00
_cell_angle_beta 60.00
_cell_angle_gamma 60.00
_symmetry_space_group_name_H-M 'P 1'
_symmetry_Int_Tables_number 1
_symmetry_space_group_name_Hall 'P 1'
loop_
_atom_site_label
_atom_site_type_symbol
_atom_site_fract_x
_atom_site_fract_y
_atom_site_fract_z
Mg1 Mg 0.000 0.000 0.000
Nb1 Nb 0.250 0.250 0.250
Fe1 Fe 0.750 0.750 0.750
Pb1 Pb 0.500 0.500 0.500


Most stable of them? a.


a | # MgNbFeSb, relaxed, DFT PBE
# Total magnetic moment   0.69 μB/atom
data_MgNbFeSb
_cell_length_a 4.597
_cell_length_b 4.597
_cell_length_c 4.597
_cell_angle_alpha 60.00
_cell_angle_beta 60.00
_cell_angle_gamma 60.00
_symmetry_space_group_name_H-M 'P 1'
_symmetry_Int_Tables_number 1
_symmetry_space_group_name_Hall 'P 1'
loop_
_atom_site_label
_atom_site_type_symbol
_atom_site_fract_x
_atom_site_fract_y
_atom_site_fract_z
Mg1 Mg 0.000 0.000 0.000
Nb1 Nb 0.250 0.250 0.250
Fe1 Fe 0.750 0.750 0.750
Sb1 Sb 0.500 0.500 0.500


b | # MgNbFeSb, relaxed, DFT PBE
# Total magnetic moment   0.48 μB/atom
data_MgNbFeSb
_cell_length_a 4.562
_cell_length_b 4.562
_cell_length_c 4.562
_cell_angle_alpha 60.00
_cell_angle_beta 60.00
_cell_angle_gamma 60.00
_symmetry_space_group_name_H-M 'P 1'
_symmetry_Int_Tables_number 1
_symmetry_space_group_name_Hall 'P 1'
loop_
_atom_site_label
_atom_site_type_symbol
_atom_site_fract_x
_atom_site_fract_y
_atom_site_fract_z
Mg1 Mg 0.000 0.000 0.000
Nb1 Nb 0.750 0.750 0.750
Fe1 Fe 0.500 0.500 0.500
Sb1 Sb 0.250 0.250 0.250


Most stable of them? a.


a | # MgScNbFe, relaxed, DFT PBE
# Total magnetic moment   0.02 μB/atom
data_MgScNbFe
_cell_length_a 4.563
_cell_length_b 4.563
_cell_length_c 4.563
_cell_angle_alpha 60.00
_cell_angle_beta 60.00
_cell_angle_gamma 60.00
_symmetry_space_group_name_H-M 'P 1'
_symmetry_Int_Tables_number 1
_symmetry_space_group_name_Hall 'P 1'
loop_
_atom_site_label
_atom_site_type_symbol
_atom_site_fract_x
_atom_site_fract_y
_atom_site_fract_z
Mg1 Mg 0.000 0.000 0.000
Sc1 Sc 0.750 0.750 0.750
Nb1 Nb 0.250 0.250 0.250
Fe1 Fe 0.500 0.500 0.500


b | # MgScNbFe, relaxed, DFT PBE
# Total magnetic moment   0.00 μB/atom
data_MgScNbFe
_cell_length_a 4.527
_cell_length_b 4.527
_cell_length_c 4.527
_cell_angle_alpha 60.00
_cell_angle_beta 60.00
_cell_angle_gamma 60.00
_symmetry_space_group_name_H-M 'P 1'
_symmetry_Int_Tables_number 1
_symmetry_space_group_name_Hall 'P 1'
loop_
_atom_site_label
_atom_site_type_symbol
_atom_site_fract_x
_atom_site_fract_y
_atom_site_fract_z
Mg1 Mg 0.000 0.000 0.000
Sc1 Sc 0.750 0.750 0.750
Nb1 Nb 0.500 0.500 0.500
Fe1 Fe 0.250 0.250 0.250


Most stable of them? a.